{"formula": "CaPr6Y4", "functional": "PBE", "state": "relaxed", "cell": [[9.481, 0.000, 0.000], [-4.740, 8.210, 0.000], [0.000, 0.000, 5.399]], "species": ["Ca", "Pr", "Pr", "Pr", "Pr", "Pr", "Pr", "Y", "Y", "Y", "Y"], "frac_coords": [[0.000, 0.000, 0.000], [0.202, 0.405, 0.500], [0.202, 0.798, 0.500], [0.532, 0.065, 0.000], [0.532, 0.468, 0.000], [0.595, 0.798, 0.500], [0.935, 0.468, 0.000], [0.333, 0.667, 0.000], [0.418, 0.209, 0.500], [0.791, 0.209, 0.500], [0.791, 0.582, 0.500]], "delta_e_f_ev_per_atom": 0.3439, "de_polymorph_kj_per_mol_atoms": 0.00}